## K2FeC2 (GGA-PBEsol)

Data for K2FeC2 after structural relaxation.

Cell lengths 5.785, 5.785, 5.785 Å; angles 129.09, 129.09, 74.86 degrees
Element x y z (fractional)
K (0.250, 0.750, 0.500)
K (0.750, 0.250, 0.500)
Fe (0.000, 0.000, 0.000)
C (0.431, 0.431, 0.000)
C (0.569, 0.569, 0.000)

Calculated values
Formation enthalpy at 0 K   1.35 eV per atom
Final energy   -0.1746 hartree per atom
Mass density   2.3 Mg/m³
Space-group type   No. 139


## KNa2FeC (GGA-PBEsol)

Data for KNa2FeC after structural relaxation.

Cell lengths 5.437, 5.437, 6.007 Å; angles 90.00, 90.00, 90.00 degrees
Element x y z (fractional)
K (0.000, 0.000, 0.000)
Na (0.000, 0.500, 0.500)
Na (0.500, 0.000, 0.500)
Fe (0.000, 0.000, 0.500)
C (0.500, 0.500, 0.000)

Calculated values
Formation enthalpy at 0 K   2.09 eV per atom
Final energy   -0.0889 hartree per atom
Mass density   1.4 Mg/m³
Space-group type   No. 123


## K3FePCO7 (GGA-PBEsol)

Data for K3FePCO7 after structural relaxation.

Cell lengths 5.595, 6.859, 9.425 Å; angles 90.00, 90.01, 90.00 degrees
Element x y z (fractional)
K (0.249, 0.007, 0.295)
K (0.249, 0.493, 0.295)
K (0.251, 0.750, 0.930)
K (0.749, 0.250, 0.070)
K (0.751, 0.507, 0.705)
K (0.751, 0.993, 0.705)
Fe (0.251, 0.250, 0.650)
Fe (0.749, 0.750, 0.350)
P (0.249, 0.750, 0.583)
P (0.751, 0.250, 0.417)
C (0.249, 0.250, 0.923)
C (0.751, 0.750, 0.077)
O (0.021, 0.750, 0.489)
O (0.050, 0.250, 0.850)
O (0.249, 0.250, 0.059)
O (0.251, 0.566, 0.678)
O (0.251, 0.934, 0.678)
O (0.447, 0.250, 0.850)
O (0.472, 0.750, 0.486)
O (0.528, 0.250, 0.514)
O (0.553, 0.750, 0.150)
O (0.749, 0.066, 0.322)
O (0.749, 0.434, 0.322)
O (0.751, 0.750, 0.941)
O (0.950, 0.750, 0.150)
O (0.979, 0.250, 0.511)

Calculated values
Raw formation energy   -178 kJ per mole of atoms
Final energy   -0.2501 hartree per atom
Mass density   3.0 Mg/m³
Space-group type   No. 11


## LaMgFeC2 (GGA-PBEsol)

Data for LaMgFeC2 after structural relaxation.

Cell lengths 4.031, 4.031, 4.620 Å; angles 90.00, 90.00, 90.00 degrees
Element x y z (fractional)
La (0.000, 0.000, 0.000)
Mg (0.500, 0.500, 0.000)
Fe (0.000, 0.000, 0.500)
C (0.000, 0.500, 0.500)
C (0.500, 0.000, 0.500)

Calculated values
Formation enthalpy at 0 K   1.27 eV per atom
Final energy   -0.2129 hartree per atom
Mass density   5.4 Mg/m³
Space-group type   No. 123


Please write out number 4 again, unchanged.
## LaMgFeC2 (GGA-PBEsol)

Data for LaMgFeC2 after structural relaxation.

Cell lengths 4.031, 4.031, 4.620 Å; angles 90.00, 90.00, 90.00 degrees
Element x y z (fractional)
La (0.000, 0.000, 0.000)
Mg (0.500, 0.500, 0.000)
Fe (0.000, 0.000, 0.500)
C (0.000, 0.500, 0.500)
C (0.500, 0.000, 0.500)

Calculated values
Formation enthalpy at 0 K   1.27 eV per atom
Final energy   -0.2129 hartree per atom
Mass density   5.4 Mg/m³
Space-group type   No. 123


Q: Among the records above, which one has the highest mass density?
A: LaMgFeC2


Q: The highest mass density belongs to which entry?
A: LaMgFeC2


Copy entry 1 word for word.
## K2FeC2 (GGA-PBEsol)

Data for K2FeC2 after structural relaxation.

Cell lengths 5.785, 5.785, 5.785 Å; angles 129.09, 129.09, 74.86 degrees
Element x y z (fractional)
K (0.250, 0.750, 0.500)
K (0.750, 0.250, 0.500)
Fe (0.000, 0.000, 0.000)
C (0.431, 0.431, 0.000)
C (0.569, 0.569, 0.000)

Calculated values
Formation enthalpy at 0 K   1.35 eV per atom
Final energy   -0.1746 hartree per atom
Mass density   2.3 Mg/m³
Space-group type   No. 139